A plane-wave DFT calculation with PBE was carried out for a relaxed structure of AlHIN2.

Computed properties:
- Calculated total energy: -4.02 eV/atom
- Energy relative to the lowest polymorph listed for this composition: 0.00 eV per formula unit
- Crystal system: tetragonal

Lattice parameters (Å, degrees): 3.5911 3.5911 7.6560 90.00 90.00 90.00
Closest atoms and distances in Å follow each position.
Space group P4/mmm (No. 123)
Inequivalent atoms, fractional coordinates:
Al: 0.0000 0.0000 0.0000 x1  4 N 1.80
H: 0.5000 0.5000 0.5000 x1  4 I 2.54
I: 0.0000 0.0000 0.5000 x1  4 H 2.54
N: 0.0000 0.5000 0.0000 x2  2 Al 1.80

=====

A plane-wave DFT calculation with PBE was carried out for a relaxed structure of RbCrPdSe3.

Computed properties:
- ΔE_f (raw): -591 meV/atom
- Calculated total energy: -4.96 eV/atom
- Crystal system: monoclinic

Lattice parameters (Å, degrees): 8.6176 3.7727 9.9801 90.00 115.46 90.00
Closest atoms and distances in Å follow each position.
Space group P2_1/m (No. 11)
Inequivalent atoms, fractional coordinates:
Rb: 0.2445 0.2500 0.2689 x2  8 Se 3.48-3.89, 2 Rb 3.77
Cr: 0.3068 0.7500 0.8382 x2  6 Se 2.44-2.58
Pd: 0.0845 0.2500 0.6129 x2  4 Se 2.48-2.74
Se: 0.1307 0.2500 0.8763 x2  1 Pd 2.48, 2 Cr 2.55
Se: 0.2577 0.7500 0.5781 x2  1 Cr 2.44, 2 Pd 2.52
Se: 0.4747 0.7500 0.1230 x2  3 Cr 2.57-2.58

=====

A plane-wave DFT calculation with PBE was carried out for a relaxed structure of EuScCu4.

Computed properties:
- Calculated total energy: -5.58 eV/atom
- Crystal system: cubic
- Energy relative to the elements: -0.084 eV/atom

Lattice parameters (Å, degrees): 7.3745 7.3745 7.3745 90.00 90.00 90.00
Closest atoms and distances in Å follow each position.
Space group F-43m (No. 216)
Inequivalent atoms, fractional coordinates:
Eu: 0.0000 0.0000 0.0000 x4  12 Cu 3.06, 4 Sc 3.19
Sc: 0.2500 0.2500 0.7500 x4  12 Cu 3.05, 4 Eu 3.19
Cu: 0.1236 0.1236 0.3764 x16  6 Cu 2.58-2.64

=====

A plane-wave DFT calculation with PBE was carried out for a relaxed structure of Fe.

Computed properties:
- Calculated total energy: -7.24 eV/atom
- Energy relative to the lowest polymorph listed for this composition: 1.22 eV per formula unit
- Crystal system: hexagonal
- Energy relative to the elements: 1.219 eV/atom

Lattice parameters (Å, degrees): 3.6530 3.6530 4.8515 90.00 90.00 120.00
Closest atoms and distances in Å follow each position.
Space group P6_3/mmc (No. 194)
Inequivalent atoms, fractional coordinates:
Fe: 0.3333 0.6667 0.0336 x4  4 Fe 2.10-2.13

=====

A plane-wave DFT calculation with PBE was carried out for a relaxed structure of Pr2MgNi3As4.

Computed properties:
- Calculated total energy: -5.50 eV/atom
- Crystal system: tetragonal
- Energy relative to the elements: -0.794 eV/atom

Lattice parameters (Å, degrees): 4.2567 4.2567 10.0477 90.00 90.00 90.00
Closest atoms and distances in Å follow each position.
Space group P-4m2 (No. 115)
Inequivalent atoms, fractional coordinates:
Pr: 0.0000 0.5000 0.2349 x2  8 As 3.18-3.23, 7 Ni 3.26-3.47, 2 Mg 3.41
Mg: 0.0000 0.0000 0.5000 x1  4 As 2.60
Ni: 0.0000 0.5000 0.8896 x2  5 As 2.40-2.42
Ni: 0.5000 0.5000 0.5000 x1  4 As 2.60
As: 0.0000 0.0000 0.0000 x1  4 Ni 2.40
As: 0.0000 0.5000 0.6489 x2  3 Ni 2.42-2.60, 2 Mg 2.60
As: 0.5000 0.5000 0.0000 x1  4 Ni 2.40

=====

A plane-wave DFT calculation with PBE was carried out for a relaxed structure of Ca2LaSc.

Computed properties:
- Calculated total energy: -3.66 eV/atom
- Energy relative to the lowest polymorph listed for this composition: 0.27 eV per formula unit
- Crystal system: orthorhombic
- Energy relative to the elements: 0.151 eV/atom

Lattice parameters (Å, degrees): 4.0315 5.8770 12.0274 90.00 90.00 90.00
Closest atoms and distances in Å follow each position.
Space group Cmm2 (No. 35)
Inequivalent atoms, fractional coordinates:
Ca: 0.0000 0.0000 0.0000 x2  6 Ca 3.56-3.85, 2 La 3.87
Ca: 0.0000 0.5000 0.2729 x2  2 Sc 3.46, 6 Ca 3.56-3.85
La: 0.0000 0.5000 0.7253 x2  2 Sc 3.31, 4 La 3.56
Sc: 0.0000 0.0000 0.5071 x2  2 La 3.31, 2 Ca 3.46, 4 Sc 3.56

=====

A plane-wave DFT calculation with PBE was carried out for a relaxed structure of GaCu2AgW.

Computed properties:
- Calculated total energy: -3.82 eV/atom
- Crystal system: tetragonal
- Energy relative to the elements: 1.580 eV/atom

Lattice parameters (Å, degrees): 4.5271 4.5271 4.5785 90.00 90.00 90.00
Closest atoms and distances in Å follow each position.
Space group P4/mmm (No. 123)
Inequivalent atoms, fractional coordinates:
Ga: 0.0000 0.0000 0.0000 x1  2 Ag 2.29
Cu: 0.0000 0.5000 0.5000 x2  2 Ag 2.26
Ag: 0.0000 0.0000 0.5000 x1  4 Cu 2.26, 2 Ga 2.29
W: 0.5000 0.5000 0.0000 x1  4 Ga 3.20, 8 Cu 3.22

=====

A plane-wave DFT calculation with PBE was carried out for a relaxed structure of Ta2MoHPt.

Computed properties:
- Calculated total energy: -8.99 eV/atom
- Energy relative to the lowest polymorph listed for this composition: 0.28 eV per formula unit
- Crystal system: tetragonal

Lattice parameters (Å, degrees): 4.3562 4.3562 3.6758 90.00 90.00 90.00
Closest atoms and distances in Å follow each position.
Space group P4/mmm (No. 123)
Inequivalent atoms, fractional coordinates:
Ta: 0.0000 0.5000 0.0000 x2  2 H 2.18
Mo: 0.0000 0.0000 0.5000 x1  8 Ta 2.85, 4 Pt 3.08
H: 0.5000 0.5000 0.0000 x1  2 Pt 1.84
Pt: 0.5000 0.5000 0.5000 x1  2 H 1.84